[1]
A geometry-optimized MgTi structure. Source: Alexandria, functional GGA-PBE.

abc: 5.5533 5.5533 5.5533
angles: 90.00 90.00 90.00
Site moments in Bohr magnetons follow the coordinates.
Fractional coordinates of all 8 atoms:
Mg 0.0000 0.0000 0.0000  0.03
Mg 0.0000 0.5000 0.5000  0.03
Mg 0.5000 0.0000 0.5000  0.03
Mg 0.5000 0.5000 0.0000  0.03
Ti 0.0000 0.5000 0.0000  0.86
Ti 0.5000 0.0000 0.0000  0.86
Ti 0.5000 0.5000 0.5000  0.86
Ti 0.0000 0.0000 0.5000  0.86

Output
Formation energy = 885 meV/atom
Density of states at the Fermi level = 12.15 states/eV/cell

=====

[2]
A geometry-optimized TbPr2Pa2Ru5 structure. Source: Alexandria, functional GGA-PBE.

abc: 3.7144 10.7937 10.7937
angles: 90.00 90.00 90.00
Fractional coordinates of all 20 atoms:
Pa 0.0000 0.6327 0.8673
Pa 0.0000 0.3673 0.1327
Pa 0.0000 0.8673 0.3673
Pa 0.0000 0.1327 0.6327
Pr 0.0000 0.6753 0.1753
Pr 0.0000 0.3247 0.8247
Pr 0.0000 0.1753 0.3247
Pr 0.0000 0.8247 0.6753
Ru 0.5000 0.0000 0.5000
Ru 0.5000 0.2880 0.5531
Ru 0.5000 0.9469 0.2120
Ru 0.5000 0.2120 0.0531
Ru 0.5000 0.5531 0.7120
Ru 0.5000 0.4469 0.2880
Ru 0.5000 0.7880 0.9469
Ru 0.5000 0.7120 0.4469
Ru 0.5000 0.0531 0.7880
Ru 0.5000 0.5000 0.0000
Tb 0.0000 0.5000 0.5000
Tb 0.0000 0.0000 0.0000

Output
Formation energy = -246 meV/atom
Density of states at the Fermi level = 14.99 states/eV/cell

=====

Please write out number 1 again, unchanged.
A geometry-optimized MgTi structure. Source: Alexandria, functional GGA-PBE.

abc: 5.5533 5.5533 5.5533
angles: 90.00 90.00 90.00
Site moments in Bohr magnetons follow the coordinates.
Fractional coordinates of all 8 atoms:
Mg 0.0000 0.0000 0.0000  0.03
Mg 0.0000 0.5000 0.5000  0.03
Mg 0.5000 0.0000 0.5000  0.03
Mg 0.5000 0.5000 0.0000  0.03
Ti 0.0000 0.5000 0.0000  0.86
Ti 0.5000 0.0000 0.0000  0.86
Ti 0.5000 0.5000 0.5000  0.86
Ti 0.0000 0.0000 0.5000  0.86

Output
Formation energy = 885 meV/atom
Density of states at the Fermi level = 12.15 states/eV/cell

=====

Question: What is the formula in the second record?
Answer: TbPr2Pa2Ru5